1.
DFT (PBE) results for Ce2PmMgTl4 after structural relaxation.

The space group is R-3m (No. 166, hexagonal axes) and the conventional cell measures 5.3527, 5.3527 and 27.4645 Å, with angles of 90.00, 90.00 and 120.00 degrees. The inequivalent atoms are Ce at (0.0000, 0.0000, 0.2418), Pm at (0.0000, 0.0000, 0.0000), Mg at (0.0000, 0.0000, 0.5000), Tl at (0.0000, 0.0000, 0.1240) and Tl at (0.0000, 0.0000, 0.3755).

For the formation energy, the calculation gives -0.26 eV per atom.


2.
DFT (PBE) results for MgP2Ru after structural relaxation.

The space group is Imm2 (No. 44) and the conventional cell measures 2.908, 3.512 and 12.382 Å, with angles of 90.00, 90.00 and 90.00 degrees. The inequivalent atoms are Mg at (0.000, 0.000, 0.000), P at (0.000, 0.000, 0.610), P at (0.000, 0.500, 0.838) and Ru at (0.000, 0.500, 0.264).

For the formation energy, the calculation gives -0.30 eV per atom.